# PBE+U Na2Ni3AgF12, relaxed
data_Na2Ni3AgF12
_chemical_formula_sum 'Na2 Ni3 Ag1 F12'
_cell_length_a 6.7175
_cell_length_b 6.7175
_cell_length_c 6.7175
_cell_angle_alpha 65.57
_cell_angle_beta 65.57
_cell_angle_gamma 65.57
_symmetry_space_group_name_H-M 'P 1'
_symmetry_Int_Tables_number 1
_symmetry_space_group_name_Hall 'P 1'
loop_
_atom_site_label
_atom_site_fract_x
_atom_site_fract_y
_atom_site_fract_z
Na1 0.6292 0.6292 0.6292
Na2 0.3708 0.3708 0.3708
Ni1 0.5000 0.0000 0.0000
Ni2 0.0000 0.5000 0.0000
Ni3 0.0000 0.0000 0.5000
Ag1 0.0000 0.0000 0.0000
F1 0.2804 0.2804 0.8834
F2 0.8635 0.8635 0.4285
F3 0.4285 0.8635 0.8635
F4 0.8834 0.2804 0.2804
F5 0.8635 0.4285 0.8635
F6 0.2804 0.8834 0.2804
F7 0.7196 0.7196 0.1166
F8 0.1365 0.1365 0.5715
F9 0.5715 0.1365 0.1365
F10 0.1166 0.7196 0.7196
F11 0.1365 0.5715 0.1365
F12 0.7196 0.1166 0.7196
# electronic total energy	-68.96	eV/cell
# N(E_F)	0.4737	states/eV/atom
# size of the total moment	3.82	μB/f.u.

---

# PBE+U GaPWO2, relaxed
data_GaPWO2
_chemical_formula_sum 'Ga1 P1 W1 O2'
_cell_length_a 3.7502
_cell_length_b 3.7502
_cell_length_c 5.2734
_cell_angle_alpha 90.00
_cell_angle_beta 90.00
_cell_angle_gamma 90.00
_symmetry_space_group_name_H-M 'P 1'
_symmetry_Int_Tables_number 1
_symmetry_space_group_name_Hall 'P 1'
loop_
_atom_site_label
_atom_site_fract_x
_atom_site_fract_y
_atom_site_fract_z
O1 0.0000 0.5000 0.0000
O2 0.5000 0.0000 0.0000
P1 0.0000 0.0000 0.5000
Ga1 0.0000 0.0000 0.0000
W1 0.5000 0.5000 0.5000
# electronic total energy	-26.16	eV/cell
# energy above the lowest structure with this stoichiometry	788.2	meV per atom
# N(E_F)	0.2359	states/eV/atom
# size of the total moment	2.01	μB/f.u.